No. 1
Crystalline RbTe2RuI at its relaxed geometry, computed with PBE.

The space group is P4/mmm (No. 123) and the conventional cell measures 5.223, 5.223 and 6.142 Å, with angles of 90.00, 90.00 and 90.00 degrees. The asymmetric unit holds Rb at (0.000, 0.000, 0.000), Te at (0.000, 0.500, 0.500), Ru at (0.500, 0.500, 0.500) and I at (0.500, 0.500, 0.000).

The uncorrected formation energy is -166 meV/atom. Its spin magnetization is 0.000 μB per formula unit. Its energy above the most stable polymorph in this dataset is 0.000 eV/atom.


No. 2
Crystalline Pr6NdSm8 at its relaxed geometry, computed with PBE.

The space group is P-3 (No. 147) and the conventional cell measures 10.0727, 10.0727 and 6.0372 Å, with angles of 90.00, 90.00 and 120.00 degrees. The asymmetric unit holds Pr at (0.0904, 0.6229, 0.2588), Nd at (0.0000, 0.0000, 0.5000), Sm at (0.0521, 0.7802, 0.7762) and Sm at (0.3333, 0.6667, 0.7773).

Its spin magnetization is 0.000 μB per formula unit. The value obtained for the formation energy from the elements is 148 meV/atom. Its energy above the most stable polymorph in this dataset is 0.003 eV/atom.


No. 3
Crystalline CaZn2Au at its relaxed geometry, computed with PBE.

The space group is Fm-3m (No. 225) and the conventional cell measures 6.705, 6.705 and 6.705 Å, with angles of 90.00, 90.00 and 90.00 degrees. The asymmetric unit holds Ca at (0.000, 0.000, 0.000), Zn at (0.250, 0.250, 0.250) and Au at (0.000, 0.000, 0.500).

Its spin magnetization is 0.000 μB per formula unit. The value obtained for the formation energy from the elements is -338 meV/atom.


No. 4
Crystalline SrIr2Pb at its relaxed geometry, computed with PBE.

The space group is R-3m (No. 166, hexagonal axes) and the conventional cell measures 3.4041, 3.4041 and 26.3836 Å, with angles of 90.00, 90.00 and 120.00 degrees. The asymmetric unit holds Sr at (0.0000, 0.0000, 0.0000), Ir at (0.0000, 0.0000, 0.2428) and Pb at (0.0000, 0.0000, 0.5000).

Its spin magnetization is 0.000 μB per formula unit. The value obtained for the formation energy from the elements is 601 meV/atom.


No. 5
Crystalline AsPd at its relaxed geometry, computed with PBE.

The space group is P4_2/mnm (No. 136) and the conventional cell measures 7.583, 7.583 and 3.083 Å, with angles of 90.00, 90.00 and 90.00 degrees. The asymmetric unit holds As at (0.193, 0.193, 0.000) and Pd at (0.131, 0.869, 0.000).

Its spin magnetization is 0.000 μB per formula unit. The value obtained for the formation energy from the elements is -126 meV/atom.


No. 6
Crystalline CaTl3 at its relaxed geometry, computed with PBE.

The space group is R-3m (No. 166, hexagonal axes) and the conventional cell measures 10.8273, 10.8273 and 3.5866 Å, with angles of 90.00, 90.00 and 120.00 degrees. The asymmetric unit holds Ca at (0.0000, 0.0000, 0.0000) and Tl at (0.0000, 0.5000, 0.0000).

Its spin magnetization is 0.000 μB per formula unit. The value obtained for the formation energy from the elements is -176 meV/atom.


No. 7
Crystalline CsZn2I at its relaxed geometry, computed with PBE.

The space group is Fm-3m (No. 225) and the conventional cell measures 8.747, 8.747 and 8.747 Å, with angles of 90.00, 90.00 and 90.00 degrees. The asymmetric unit holds Cs at (0.000, 0.000, 0.000), Zn at (0.250, 0.250, 0.250) and I at (0.000, 0.000, 0.500).

The uncorrected formation energy is -185 meV/atom. Its spin magnetization is 0.000 μB per formula unit.


No. 8
Crystalline As3PdSe at its relaxed geometry, computed with PBE.

The space group is Pm-3m (No. 221) and the conventional cell measures 4.884, 4.884 and 4.884 Å, with angles of 90.00, 90.00 and 90.00 degrees. The asymmetric unit holds As at (0.000, 0.000, 0.500), Pd at (0.000, 0.000, 0.000) and Se at (0.500, 0.500, 0.500).

The uncorrected formation energy is 647 meV/atom. Its spin magnetization is 0.046 μB per formula unit. Its energy above the most stable polymorph in this dataset is 0.000 eV/atom.


No. 9
Crystalline In3AgS at its relaxed geometry, computed with PBE.

The space group is Pm-3m (No. 221) and the conventional cell measures 5.360, 5.360 and 5.360 Å, with angles of 90.00, 90.00 and 90.00 degrees. The asymmetric unit holds In at (0.000, 0.000, 0.500), Ag at (0.500, 0.500, 0.500) and S at (0.000, 0.000, 0.000).

The uncorrected formation energy is 354 meV/atom. Its spin magnetization is 0.000 μB per formula unit. Its energy above the most stable polymorph in this dataset is 0.146 eV/atom.


No. 10
Crystalline Pm12Pt6O at its relaxed geometry, computed with PBE.

The space group is R-3 (No. 148, hexagonal axes) and the conventional cell measures 12.4735, 12.4735 and 12.0354 Å, with angles of 90.00, 90.00 and 120.00 degrees. The asymmetric unit holds Pm at (0.0255, 0.2125, 0.3920), Pm at (0.0388, 0.1898, 0.8829), Pt at (0.0493, 0.2735, 0.6501) and O at (0.0000, 0.0000, 0.0000).

The uncorrected formation energy is -973 meV/atom. Its spin magnetization is 0.005 μB per formula unit.


No. 11
Crystalline Tm2GaGe3Rh4 at its relaxed geometry, computed with PBE.

The space group is P-4m2 (No. 115) and the conventional cell measures 4.139, 4.139 and 10.302 Å, with angles of 90.00, 90.00 and 90.00 degrees. The asymmetric unit holds Tm at (0.000, 0.500, 0.250), Ga at (0.000, 0.000, 0.500), Ge at (0.000, 0.500, 0.868), Ge at (0.500, 0.500, 0.500), Rh at (0.000, 0.000, 0.000), Rh at (0.000, 0.500, 0.636) and Rh at (0.500, 0.500, 0.000).

Its spin magnetization is 0.000 μB per formula unit. The value obtained for the formation energy from the elements is -835 meV/atom.


No. 12
Crystalline Rb6SeI2Br2 at its relaxed geometry, computed with PBE.

The space group is C2/m (No. 12) and the conventional cell measures 8.916, 15.119 and 9.052 Å, with angles of 90.00, 109.75 and 90.00 degrees. The asymmetric unit holds Rb at (0.220, 0.168, 0.210), Rb at (0.227, 0.000, 0.782), Se at (0.000, 0.000, 0.000), I at (0.000, 0.176, 0.500) and Br at (0.000, 0.342, 0.000).

The uncorrected formation energy is -1435 meV/atom. Its spin magnetization is 0.202 μB per formula unit.


No. 13
Crystalline ScSb2 at its relaxed geometry, computed with PBE.

The space group is Pnnm (No. 58) and the conventional cell measures 6.620, 7.580 and 3.380 Å, with angles of 90.00, 90.00 and 90.00 degrees. The asymmetric unit holds Sc at (0.000, 0.000, 0.000) and Sb at (0.158, 0.369, 0.000).

The uncorrected formation energy is -404 meV/atom. Its spin magnetization is 0.004 μB per formula unit.


No. 14
Crystalline Ce2HgO at its relaxed geometry, computed with PBE.

The space group is R-3m (No. 166, hexagonal axes) and the conventional cell measures 3.6562, 3.6562 and 23.2210 Å, with angles of 90.00, 90.00 and 120.00 degrees. The asymmetric unit holds Ce at (0.0000, 0.0000, 0.2244), Hg at (0.0000, 0.0000, 0.0000) and O at (0.0000, 0.0000, 0.5000).

The uncorrected formation energy is -1439 meV/atom. Its spin magnetization is 1.160 μB per formula unit. Its energy above the most stable polymorph in this dataset is 0.010 eV/atom.


No. 15
Crystalline PmTh2NpP4 at its relaxed geometry, computed with PBE.

The space group is I-4m2 (No. 119) and the conventional cell measures 5.804, 5.804 and 11.602 Å, with angles of 90.00, 90.00 and 90.00 degrees. The asymmetric unit holds Pm at (0.000, 0.000, 0.000), Th at (0.000, 0.000, 0.500), Th at (0.000, 0.500, 0.250), Np at (0.000, 0.500, 0.750), P at (0.000, 0.000, 0.250) and P at (0.000, 0.500, 0.504).

Its spin magnetization is 4.100 μB per formula unit. The value obtained for the formation energy from the elements is -1383 meV/atom.


No. 16
Crystalline AlTcPCl2 at its relaxed geometry, computed with PBE.

The space group is P4/mmm (No. 123) and the conventional cell measures 5.007, 5.007 and 4.562 Å, with angles of 90.00, 90.00 and 90.00 degrees. The asymmetric unit holds Al at (0.000, 0.000, 0.000), Tc at (0.500, 0.500, 0.500), P at (0.500, 0.500, 0.000) and Cl at (0.000, 0.500, 0.500).

The uncorrected formation energy is 167 meV/atom. Its spin magnetization is 0.979 μB per formula unit. Its energy above the most stable polymorph in this dataset is 0.000 eV/atom.


No. 17
Crystalline Sn2Pb2I at its relaxed geometry, computed with PBE.

The space group is P4/mbm (No. 127) and the conventional cell measures 9.306, 9.306 and 3.732 Å, with angles of 90.00, 90.00 and 90.00 degrees. The asymmetric unit holds Sn at (0.149, 0.351, 0.000), Pb at (0.145, 0.645, 0.500) and I at (0.000, 0.000, 0.000).

The uncorrected formation energy is 35 meV/atom. Its spin magnetization is 0.000 μB per formula unit. Its energy above the most stable polymorph in this dataset is 0.147 eV/atom.


No. 18
Crystalline Y2Al5Zn3 at its relaxed geometry, computed with PBE.

The space group is Ibam (No. 72) and the conventional cell measures 10.991, 11.717 and 5.857 Å, with angles of 90.00, 90.00 and 90.00 degrees. The asymmetric unit holds Y at (0.250, 0.127, 0.000), Al at (0.000, 0.000, 0.250), Al at (0.000, 0.247, 0.250), Al at (0.140, 0.379, 0.000), Zn at (0.000, 0.500, 0.250) and Zn at (0.140, 0.123, 0.500).

Its spin magnetization is 0.000 μB per formula unit. The value obtained for the formation energy from the elements is -370 meV/atom.


No. 19
Crystalline Er5Mg2PdRu2 at its relaxed geometry, computed with PBE.

The space group is P4/mbm (No. 127) and the conventional cell measures 11.371, 11.371 and 3.678 Å, with angles of 90.00, 90.00 and 90.00 degrees. The asymmetric unit holds Er at (0.000, 0.500, 0.000), Er at (0.070, 0.202, 0.000), Mg at (0.179, 0.679, 0.500), Pd at (0.000, 0.000, 0.500) and Ru at (0.132, 0.368, 0.500).

Its spin magnetization is 0.000 μB per formula unit. The value obtained for the formation energy from the elements is -372 meV/atom.


No. 20
Crystalline BaNpPa2O8 at its relaxed geometry, computed with PBE.

The space group is I-4m2 (No. 119) and the conventional cell measures 5.586, 5.586 and 10.975 Å, with angles of 90.00, 90.00 and 90.00 degrees. The asymmetric unit holds Ba at (0.000, 0.000, 0.000), Np at (0.000, 0.500, 0.750), Pa at (0.000, 0.000, 0.500), Pa at (0.000, 0.500, 0.250) and O at (0.226, 0.234, 0.367).

The uncorrected formation energy is -3290 meV/atom. Its spin magnetization is 3.000 μB per formula unit.